Entry from the Alexandria database: a PBEsol-optimized structure of ZnReCl2 (meta-GGA SCAN).

Unit cell a=2.852 b=4.091 c=5.630 alpha=90.00 beta=101.69 gamma=90.00
Sites, in units of the cell vectors:
Re  0.500  0.500  0.500
Zn  0.000  0.500  0.000
Cl  0.425  0.000  0.257
Cl  0.575  0.000  0.743

Values from the calculation:
Raw formation energy   1.89 eV per formula unit
Polymorph energy (0 for the lowest one)   406 meV per atom
E   -98.7 eV for the cell shown

***

Entry from the Alexandria database: a PBEsol-optimized structure of YPW (meta-GGA SCAN).

Unit cell a=4.320 b=4.320 c=4.320 alpha=60.00 beta=60.00 gamma=60.00
Sites, in units of the cell vectors:
P  0.250  0.250  0.250
W  0.000  0.000  0.000
Y  0.500  0.500  0.500

Values from the calculation:
Polymorph energy (0 for the lowest one)   0 meV per atom
Formation energy   0.00 eV/atom
E   -107.9 eV for the cell shown